No. 1
A geometry-optimized AgSe5 structure. Source: Alexandria, functional PBE.

Summary:
Raw total energy, eV/atom: -2.915
Calculated volume, Å³/atom: 22.47
N(E_F), states/eV/f.u.: 3.10
ΔE_f (raw), eV/atom: 0.46
Excess energy over the best structure of this formula in the dataset, meV per atom: 397.0

The structure in POSCAR format:
```
AgSe5
1.0
3.014 0.000 0.000
0.000 3.014 0.000
0.000 0.000 14.845
Ag Se
1 5
direct
0.500 0.500 0.000
0.000 0.000 0.144
0.500 0.500 0.629
0.000 0.000 0.500
0.000 0.000 0.856
0.500 0.500 0.371
```



No. 2
A geometry-optimized AlCoP structure. Source: Alexandria, functional PBE.

Summary:
Raw total energy, eV/atom: -5.613
Calculated volume, Å³/atom: 12.89
N(E_F), states/eV/f.u.: 2.18
Formation enthalpy at 0 K, meV per atom: -194

The structure in POSCAR format:
```
AlCoP
1.0
-4.572 3.013 -0.097
-5.167 0.909 1.568
0.222 1.662 2.178
Al P Co
1 1 1
direct
0.014 0.014 0.986
0.306 0.306 0.694
0.679 0.679 0.321
```



No. 3
A geometry-optimized Ta3TcF structure. Source: Alexandria, functional PBE.

Summary:
Raw total energy, eV/atom: -8.407
Calculated volume, Å³/atom: 22.57
N(E_F), states/eV/f.u.: 7.10
ΔE_f (raw), eV/atom: 1.15
Excess energy over the best structure of this formula in the dataset, meV per atom: 906.3

The structure in POSCAR format:
```
Ta3TcF
1.0
4.833 0.000 0.000
0.000 4.833 0.000
0.000 0.000 4.833
Ta F Tc
3 1 1
direct
0.000 0.500 0.000
0.000 0.000 0.500
0.500 0.000 0.000
0.500 0.500 0.500
0.000 0.000 0.000
```



No. 4
A geometry-optimized La2TbTh structure. Source: Alexandria, functional PBE.

Summary:
Raw total energy, eV/atom: -5.286
Calculated volume, Å³/atom: 34.53
N(E_F), states/eV/f.u.: 6.49
Formation enthalpy at 0 K, meV per atom: 190
Excess energy over the best structure of this formula in the dataset, meV per atom: 167.0

The structure in POSCAR format:
```
La2TbTh
1.0
-0.504 -3.010 1.778
-0.520 -3.021 -1.754
12.264 -4.151 -0.040
La Tb Th
2 1 1
direct
0.088 0.088 0.735
0.912 0.912 0.265
0.500 0.500 0.500
0.000 0.000 0.000
```



No. 5
A geometry-optimized CoPb7 structure. Source: Alexandria, functional PBE.

Summary:
Raw total energy, eV/atom: -3.807
Calculated volume, Å³/atom: 28.88
N(E_F), states/eV/f.u.: 11.78
Formation enthalpy at 0 K, meV per atom: 326

The structure in POSCAR format:
```
CoPb7
1.0
1.857 2.729 6.045
0.186 6.841 0.779
-4.689 3.146 3.944
Pb Co
7 1
direct
0.500 0.000 0.000
0.500 0.500 0.000
0.000 0.500 0.000
0.500 0.000 0.500
0.500 0.500 0.500
0.000 0.000 0.500
0.000 0.500 0.500
0.000 0.000 0.000
```



No. 6
A geometry-optimized MnAl2W structure. Source: Alexandria, functional PBE.

Summary:
Raw total energy, eV/atom: -7.415
Calculated volume, Å³/atom: 14.57
N(E_F), states/eV/f.u.: 3.00
Formation enthalpy at 0 K, meV per atom: -13
Excess energy over the best structure of this formula in the dataset, meV per atom: 157.3

The structure in POSCAR format:
```
MnAl2W
1.0
4.766 0.002 0.010
3.977 2.626 0.010
0.766 0.230 4.663
Al Mn W
2 1 1
direct
0.000 0.000 0.000
0.752 0.752 0.745
0.497 0.497 0.506
0.251 0.251 0.248
```



No. 7
A geometry-optimized ReSbPI2 structure. Source: Alexandria, functional PBE.

Summary:
Raw total energy, eV/atom: -3.513
Calculated volume, Å³/atom: 31.05
N(E_F), states/eV/f.u.: 1.66
ΔE_f (raw), eV/atom: 1.50
Excess energy over the best structure of this formula in the dataset, meV per atom: 289.4

The structure in POSCAR format:
```
ReSbPI2
1.0
-0.464 -4.672 2.482
4.907 0.551 1.954
-2.048 2.554 4.425
Sb Re P I
1 1 1 2
direct
0.000 0.000 0.500
0.500 0.500 0.500
0.000 0.000 0.000
0.000 0.500 0.000
0.500 0.000 0.000
```



No. 8
A geometry-optimized Ca3Sm3TmSe8 structure. Source: Alexandria, functional PBE.

Summary:
Raw total energy, eV/atom: -5.425
Calculated volume, Å³/atom: 27.39
N(E_F), states/eV/f.u.: 4.32
ΔE_f (raw), eV/atom: -1.92

The structure in POSCAR format:
```
Ca3Sm3TmSe8
1.0
8.302 0.000 0.000
-4.151 7.189 -0.026
0.000 -4.769 6.900
Sm Se Tm Ca
3 8 1 3
direct
0.500 0.500 0.500
0.000 0.500 0.500
0.500 0.000 0.500
0.243 0.999 0.742
0.756 0.999 0.742
0.249 0.499 0.248
0.243 0.486 0.742
0.244 0.001 0.258
0.757 0.001 0.258
0.757 0.514 0.258
0.751 0.501 0.752
0.000 0.000 0.500
0.000 0.000 0.000
0.500 0.500 0.000
0.000 0.500 0.000
```



No. 9
A geometry-optimized Ca2CuPdN structure. Source: Alexandria, functional PBE.

Summary:
Raw total energy, eV/atom: -4.699
Calculated volume, Å³/atom: 19.11
N(E_F), states/eV/f.u.: 2.68
ΔE_f (raw), eV/atom: -0.38
Excess energy over the best structure of this formula in the dataset, meV per atom: 172.6

The structure in POSCAR format:
```
Ca2CuPdN
1.0
4.883 0.000 0.000
0.000 4.883 0.000
0.000 0.000 4.007
Cu Ca N Pd
1 2 1 1
direct
0.500 0.500 0.500
0.500 0.000 0.000
0.000 0.500 0.000
0.000 0.000 0.000
0.000 0.000 0.500
```



No. 10
A geometry-optimized VPd2Pb2 structure. Source: Alexandria, functional PBE.

Summary:
Raw total energy, eV/atom: -5.181
Calculated volume, Å³/atom: 20.80
N(E_F), states/eV/f.u.: 5.29
Formation enthalpy at 0 K, meV per atom: 203
Excess energy over the best structure of this formula in the dataset, meV per atom: 0.0

The structure in POSCAR format:
```
VPd2Pb2
1.0
7.820 0.000 0.000
0.000 7.820 0.000
0.000 0.000 3.401
V Pb Pd
2 4 4
direct
0.500 0.500 0.000
0.000 0.000 0.000
0.158 0.342 0.000
0.658 0.158 0.000
0.342 0.842 0.000
0.842 0.658 0.000
0.139 0.639 0.500
0.639 0.861 0.500
0.361 0.139 0.500
0.861 0.361 0.500
```



No. 11
A geometry-optimized Y6Tl2N structure. Source: Alexandria, functional PBE.

Summary:
Raw total energy, eV/atom: -6.192
Calculated volume, Å³/atom: 27.20
N(E_F), states/eV/f.u.: 10.06
ΔE_f (raw), eV/atom: -0.43

The structure in POSCAR format:
```
Y6Tl2N
1.0
-3.483 0.716 0.217
-1.481 -8.272 3.529
1.744 6.916 5.173
Y Tl N
6 2 1
direct
0.500 0.431 0.411
0.000 0.263 0.000
0.500 0.604 0.000
0.000 0.005 0.211
0.000 0.793 0.789
0.500 0.021 0.589
0.000 0.687 0.341
0.000 0.345 0.659
0.500 0.851 0.000
```



No. 12
A geometry-optimized MnBrN structure. Source: Alexandria, functional PBE.

Summary:
Raw total energy, eV/atom: -6.352
Calculated volume, Å³/atom: 22.65
N(E_F), states/eV/f.u.: 1.42
ΔE_f (raw), eV/atom: 0.04

The structure in POSCAR format:
```
MnBrN
1.0
2.746 0.000 0.000
-1.373 9.078 0.000
0.000 0.000 5.452
N Mn Br
2 2 2
direct
0.509 0.018 0.750
0.491 0.982 0.250
0.000 0.000 0.000
0.000 0.000 0.500
0.664 0.328 0.250
0.336 0.672 0.750
```



No. 13
A geometry-optimized ZrTcW2 structure. Source: Alexandria, functional PBE.

Summary:
Raw total energy, eV/atom: -11.181
Calculated volume, Å³/atom: 16.85
N(E_F), states/eV/f.u.: 2.27
Formation enthalpy at 0 K, meV per atom: 25
Excess energy over the best structure of this formula in the dataset, meV per atom: 107.4

The structure in POSCAR format:
```
ZrTcW2
1.0
-2.769 4.115 -1.809
-1.443 -4.819 -1.828
-2.437 -0.341 1.400
Zr W Tc
1 2 1
direct
0.000 0.500 0.500
0.000 0.000 0.000
0.500 0.000 0.500
0.500 0.500 0.000
```



No. 14
A geometry-optimized Tb3HoH8 structure. Source: Alexandria, functional PBE.

Summary:
Raw total energy, eV/atom: -4.491
Calculated volume, Å³/atom: 11.71
N(E_F), states/eV/f.u.: 2.49

The structure in POSCAR format:
```
Tb3HoH8
1.0
-1.794 3.922 2.903
0.975 -2.742 4.308
4.781 2.031 0.211
Tb H Ho
3 8 1
direct
0.000 0.500 0.500
0.500 0.500 0.000
0.500 0.000 0.500
0.248 0.248 0.248
0.752 0.752 0.248
0.248 0.752 0.248
0.752 0.752 0.752
0.248 0.248 0.752
0.248 0.752 0.752
0.752 0.248 0.752
0.752 0.248 0.248
0.000 0.000 0.000
```



No. 15
A geometry-optimized BaCuAu2 structure. Source: Alexandria, functional PBE.

Summary:
Raw total energy, eV/atom: -3.543
Calculated volume, Å³/atom: 25.66
N(E_F), states/eV/f.u.: 2.35
Formation enthalpy at 0 K, meV per atom: -399
Excess energy over the best structure of this formula in the dataset, meV per atom: 43.7

The structure in POSCAR format:
```
BaCuAu2
1.0
4.595 -0.112 0.101
2.383 3.930 0.101
2.215 1.212 5.664
Ba Cu Au
1 1 2
direct
0.504 0.504 0.485
0.312 0.312 0.065
0.978 0.978 0.065
0.705 0.705 0.885
```



No. 16
A geometry-optimized PuInCuAg structure. Source: Alexandria, functional PBE.

Summary:
Raw total energy, eV/atom: -5.999
Calculated volume, Å³/atom: 20.95
N(E_F), states/eV/f.u.: 15.36
Formation enthalpy at 0 K, meV per atom: 5

The structure in POSCAR format:
```
PuInCuAg
1.0
-4.679 -0.017 1.497
-1.366 -2.850 3.760
-1.208 2.029 4.308
Ag Cu In Pu
1 1 1 1
direct
0.750 0.750 0.750
0.250 0.250 0.250
0.000 0.000 0.000
0.500 0.500 0.500
```



No. 17
A geometry-optimized YOs2Au structure. Source: Alexandria, functional PBE.

Summary:
Raw total energy, eV/atom: -7.514
Calculated volume, Å³/atom: 18.41
N(E_F), states/eV/f.u.: 5.93
Formation enthalpy at 0 K, meV per atom: 536
Excess energy over the best structure of this formula in the dataset, meV per atom: 467.6

The structure in POSCAR format:
```
YOs2Au
1.0
-1.698 2.700 -1.264
-2.958 -1.346 1.098
0.672 2.979 5.461
Y Os Au
1 2 1
direct
0.500 0.500 0.250
0.000 0.000 0.540
0.000 0.000 0.960
0.500 0.500 0.750
```



No. 18
A geometry-optimized SmMg2Cu2Sn2 structure. Source: Alexandria, functional PBE.

Summary:
Raw total energy, eV/atom: -3.774
Calculated volume, Å³/atom: 21.57
N(E_F), states/eV/f.u.: 1.21
Formation enthalpy at 0 K, meV per atom: -330

The structure in POSCAR format:
```
SmMg2Cu2Sn2
1.0
4.549 0.000 0.000
2.274 3.939 0.000
2.274 1.313 8.427
Mg Cu Sm Sn
2 2 1 2
direct
0.866 0.866 0.402
0.134 0.134 0.598
0.409 0.409 0.773
0.591 0.591 0.227
0.000 0.000 0.000
0.255 0.255 0.234
0.745 0.745 0.766
```



No. 19
A geometry-optimized EuNbSb2 structure. Source: Alexandria, functional PBE.

Summary:
Raw total energy, eV/atom: -7.584
Calculated volume, Å³/atom: 24.40
N(E_F), states/eV/f.u.: 3.35
ΔE_f (raw), eV/atom: -0.44
Excess energy over the best structure of this formula in the dataset, meV per atom: 23.4

The structure in POSCAR format:
```
EuNbSb2
1.0
3.527 0.000 0.000
0.000 3.527 0.000
0.000 0.000 7.844
Sb Nb Eu
2 1 1
direct
0.000 0.000 0.207
0.000 0.000 0.793
0.500 0.500 0.000
0.500 0.500 0.500
```



No. 20
A geometry-optimized LuScOsAu structure. Source: Alexandria, functional PBE.

Summary:
Raw total energy, eV/atom: -6.906
Calculated volume, Å³/atom: 19.03
N(E_F), states/eV/f.u.: 1.95
Formation enthalpy at 0 K, meV per atom: -566

The structure in POSCAR format:
```
LuScOsAu
1.0
4.757 0.000 0.000
2.379 4.120 0.000
2.379 1.373 3.884
Sc Au Os Lu
1 1 1 1
direct
0.250 0.250 0.250
0.000 0.000 0.000
0.500 0.500 0.500
0.750 0.750 0.750
```



No. 21
A geometry-optimized TlGeCl2 structure. Source: Alexandria, functional PBE.

Summary:
Raw total energy, eV/atom: -3.010
Calculated volume, Å³/atom: 34.99
N(E_F), states/eV/f.u.: 1.21
ΔE_f (raw), eV/atom: -0.34
Excess energy over the best structure of this formula in the dataset, meV per atom: 104.6

The structure in POSCAR format:
```
TlGeCl2
1.0
5.798 0.000 0.000
0.000 5.798 0.000
2.899 2.899 8.328
Ge Cl Tl
2 4 2
direct
0.500 0.500 0.000
0.250 0.750 0.500
0.195 0.625 0.250
0.555 0.125 0.250
0.375 0.445 0.750
0.875 0.805 0.750
0.000 0.000 0.000
0.750 0.250 0.500
```



No. 22
A geometry-optimized HfTiGa2 structure. Source: Alexandria, functional PBE.

Summary:
Raw total energy, eV/atom: -6.084
Calculated volume, Å³/atom: 18.57
N(E_F), states/eV/f.u.: 3.25
Formation enthalpy at 0 K, meV per atom: -109
Excess energy over the best structure of this formula in the dataset, meV per atom: 320.4

The structure in POSCAR format:
```
HfTiGa2
1.0
7.251 0.000 0.000
0.000 7.251 0.000
3.626 3.626 2.825
Hf Ga Ti
2 4 2
direct
0.750 0.250 0.500
0.000 0.000 0.000
0.875 0.862 0.750
0.138 0.625 0.250
0.375 0.388 0.750
0.612 0.125 0.250
0.500 0.500 0.000
0.250 0.750 0.500
```



No. 23
A geometry-optimized LiCaGaF2 structure. Source: Alexandria, functional PBE.

Summary:
Raw total energy, eV/atom: -3.702
Calculated volume, Å³/atom: 17.05
N(E_F), states/eV/f.u.: 1.80
ΔE_f (raw), eV/atom: -1.56

The structure in POSCAR format:
```
LiCaGaF2
1.0
4.145 0.000 0.000
0.000 4.962 0.000
0.000 0.000 4.145
F Ga Li Ca
2 1 1 1
direct
0.000 0.000 0.500
0.500 0.000 0.000
0.000 0.500 0.000
0.000 0.000 0.000
0.500 0.500 0.500
```



No. 24
A geometry-optimized La3TlTeBr structure. Source: Alexandria, functional PBE.

Summary:
Raw total energy, eV/atom: -4.657
Calculated volume, Å³/atom: 32.87
N(E_F), states/eV/f.u.: 5.75
ΔE_f (raw), eV/atom: -1.00

The structure in POSCAR format:
```
La3TlTeBr
1.0
-0.637 -4.441 -0.110
-0.303 0.258 -8.624
10.212 -1.554 3.563
Tl La Br Te
2 6 2 2
direct
0.250 0.590 0.092
0.750 0.410 0.908
0.750 0.434 0.230
0.250 0.566 0.770
0.250 0.749 0.530
0.750 0.251 0.470
0.250 0.135 0.918
0.750 0.865 0.082
0.250 0.154 0.623
0.750 0.846 0.377
0.750 0.849 0.775
0.250 0.151 0.225
```



No. 25
A geometry-optimized NdAuS2 structure. Source: Alexandria, functional PBE.

Summary:
Raw total energy, eV/atom: -5.335
Calculated volume, Å³/atom: 29.98
N(E_F), states/eV/f.u.: 0.00
ΔE_f (raw), eV/atom: -1.26

The structure in POSCAR format:
```
NdAuS2
1.0
4.338 0.000 0.000
2.169 3.757 0.000
2.169 1.252 7.359
Au Nd S
1 1 2
direct
0.000 0.000 0.000
0.500 0.500 0.500
0.896 0.896 0.313
0.104 0.104 0.687
```



No. 26
A geometry-optimized BaSrMo2 structure. Source: Alexandria, functional PBE.

Summary:
Raw total energy, eV/atom: -5.786
Calculated volume, Å³/atom: 35.67
N(E_F), states/eV/f.u.: 2.48
Formation enthalpy at 0 K, meV per atom: 530
Excess energy over the best structure of this formula in the dataset, meV per atom: 0.0

The structure in POSCAR format:
```
BaSrMo2
1.0
4.213 0.003 0.044
2.105 3.649 0.044
2.015 1.165 9.313
Mo Sr Ba
2 1 1
direct
0.043 0.043 0.870
0.710 0.710 0.871
0.466 0.466 0.604
0.281 0.281 0.155
```